Crystalline Cd2In5Sn2 at its relaxed geometry, computed with GGA-PBE.

Values from the calculation:
Electronic total energy ... -2.5427 eV/atom
Relative energy among the computed polymorphs ... 0.030 eV per atom

Lattice parameters (Å, degrees): 9.6942 9.6942 9.6942 75.53 118.24 140.96
With the nearest neighbours (Å) after each atom.
Fractional coordinates of all 18 atoms:
1 Cd 0.0343 0.0992 0.1335  4 In 3.02-3.21, 1 Cd 3.12, 2 Sn 3.13-3.15
2 Cd 0.0343 0.4008 0.4351  4 In 3.02-3.21, 1 Cd 3.12, 2 Sn 3.13-3.15
3 Cd 0.9657 0.5992 0.5649  4 In 3.02-3.21, 1 Cd 3.12, 2 Sn 3.13-3.15
4 Cd 0.9657 0.9008 0.8665  4 In 3.02-3.21, 1 Cd 3.12, 2 Sn 3.13-3.15
5 In 0.0394 0.3306 0.8308  4 In 3.08-3.41, 2 Sn 3.10-3.18, 2 Cd 3.21-3.42
6 In 0.0394 0.7087 0.2088  4 In 3.08-3.41, 2 Sn 3.10-3.18, 2 Cd 3.21-3.42
7 In 0.0866 0.4668 0.1198  2 In 3.08, 2 Cd 3.16, 3 Sn 3.16-3.43
8 In 0.2315 0.0612 0.4723  2 Cd 3.02-3.12, 1 In 3.03, 2 Sn 3.11-3.34
9 In 0.2315 0.2591 0.6703  2 Cd 3.02-3.12, 1 In 3.03, 2 Sn 3.11-3.34
10 In 0.3470 0.9668 0.8802  2 In 3.08, 2 Cd 3.16, 3 Sn 3.16-3.43
11 In 0.4998 0.2087 0.1692  4 In 3.08-3.41, 2 Sn 3.10-3.18, 2 Cd 3.21-3.42
12 In 0.4998 0.8306 0.7912  4 In 3.08-3.41, 2 Sn 3.10-3.18, 2 Cd 3.21-3.42
13 In 0.5888 0.5612 0.3297  2 Cd 3.02-3.12, 1 In 3.03, 2 Sn 3.11-3.34
14 In 0.5888 0.7591 0.5277  2 Cd 3.02-3.12, 1 In 3.03, 2 Sn 3.11-3.34
15 Sn 0.5780 0.0780 0.5000  6 In 3.10-3.18, 2 Cd 3.15
16 Sn 0.5780 0.5780 0.0000  6 In 3.10-3.18, 2 Cd 3.15
17 Sn 0.6498 0.9518 0.1980  2 Cd 3.13, 5 In 3.16-3.43
18 Sn 0.7538 0.4518 0.8020  2 Cd 3.13, 5 In 3.16-3.43



Crystalline Cd6InSn3 at its relaxed geometry, computed with GGA-PBE.

Values from the calculation:
Electronic total energy ... -1.9484 eV/atom

Lattice parameters (Å, degrees): 9.0389 12.9030 4.5202 90.00 90.00 90.00
With the nearest neighbours (Å) after each atom.
Fractional coordinates of all 20 atoms:
1 Cd 0.0273 0.1775 0.0000  5 Cd 3.00-3.01, 2 Sn 3.17-3.33, 2 In 3.23
2 Cd 0.0386 0.6763 0.5000  5 Cd 3.00-3.01, 4 Sn 3.23-3.25
3 Cd 0.2439 0.2001 0.5000  6 Cd 3.00-3.01
4 Cd 0.2561 0.7001 0.0000  6 Cd 3.00-3.01
5 Cd 0.4614 0.1763 0.0000  5 Cd 3.00-3.01, 4 Sn 3.23-3.25
6 Cd 0.4727 0.6775 0.5000  5 Cd 3.00-3.01, 2 Sn 3.17-3.33, 2 In 3.23
7 Cd 0.5273 0.3225 0.5000  5 Cd 3.00-3.01, 2 Sn 3.17-3.33, 2 In 3.23
8 Cd 0.5386 0.8237 0.0000  5 Cd 3.00-3.01, 4 Sn 3.23-3.25
9 Cd 0.7439 0.2999 0.0000  6 Cd 3.00-3.01
10 Cd 0.7561 0.7999 0.5000  6 Cd 3.00-3.01
11 Cd 0.9614 0.3237 0.5000  5 Cd 3.00-3.01, 4 Sn 3.23-3.25
12 Cd 0.9727 0.8225 0.0000  5 Cd 3.00-3.01, 2 Sn 3.17-3.33, 2 In 3.23
13 In 0.0000 0.0000 0.5000  4 Sn 3.22, 6 Cd 3.23-3.39
14 In 0.5000 0.5000 0.0000  4 Sn 3.22, 6 Cd 3.23-3.39
15 Sn 0.0000 0.5000 0.0000  4 Sn 3.21, 6 Cd 3.23-3.47
16 Sn 0.2489 0.4723 0.5000  5 Cd 3.17-3.51, 2 Sn 3.21, 2 In 3.22
17 Sn 0.2511 0.9723 0.0000  5 Cd 3.17-3.51, 2 Sn 3.21, 2 In 3.22
18 Sn 0.5000 0.0000 0.5000  4 Sn 3.21, 6 Cd 3.23-3.47
19 Sn 0.7489 0.0277 0.0000  5 Cd 3.17-3.51, 2 Sn 3.21, 2 In 3.22
20 Sn 0.7511 0.5277 0.5000  5 Cd 3.17-3.51, 2 Sn 3.21, 2 In 3.22



Crystalline CdInSn4 at its relaxed geometry, computed with GGA-PBE.

Values from the calculation:
Electronic total energy ... -3.1654 eV/atom
Relative energy among the computed polymorphs ... 0.062 eV per atom

Lattice parameters (Å, degrees): 6.4270 8.7695 6.4093 90.00 90.00 90.00
With the nearest neighbours (Å) after each atom.
Fractional coordinates of all 12 atoms:
1 Cd 0.0000 0.0000 0.0000  8 Sn 3.14
2 Cd 0.5000 0.5000 0.0000  8 Sn 3.14
3 In 0.0000 0.5000 0.5000  8 Sn 3.17
4 In 0.5000 0.0000 0.5000  8 Sn 3.17
5 Sn 0.2500 0.2500 0.2466  2 Cd 3.14, 4 Sn 3.16-3.25, 2 In 3.17
6 Sn 0.2500 0.2500 0.7534  2 Cd 3.14, 4 Sn 3.16-3.25, 2 In 3.17
7 Sn 0.2500 0.7500 0.2466  2 Cd 3.14, 4 Sn 3.16-3.25, 2 In 3.17
8 Sn 0.2500 0.7500 0.7534  2 Cd 3.14, 4 Sn 3.16-3.25, 2 In 3.17
9 Sn 0.7500 0.2500 0.2466  2 Cd 3.14, 4 Sn 3.16-3.25, 2 In 3.17
10 Sn 0.7500 0.2500 0.7534  2 Cd 3.14, 4 Sn 3.16-3.25, 2 In 3.17
11 Sn 0.7500 0.7500 0.2466  2 Cd 3.14, 4 Sn 3.16-3.25, 2 In 3.17
12 Sn 0.7500 0.7500 0.7534  2 Cd 3.14, 4 Sn 3.16-3.25, 2 In 3.17



Crystalline Cd5In4Sn2 at its relaxed geometry, computed with GGA-PBE.

Values from the calculation:
Electronic total energy ... -2.1152 eV/atom

Lattice parameters (Å, degrees): 11.2253 11.2253 8.2799 110.88 110.88 16.63
With the nearest neighbours (Å) after each atom.
Fractional coordinates of all 11 atoms:
1 Cd 0.0000 0.0000 0.0000  6 Cd 3.12-3.25, 4 In 3.26
2 Cd 0.2547 0.2547 0.1624  6 Cd 3.08-3.25, 2 In 3.24, 2 Sn 3.42
3 Cd 0.3714 0.3714 0.8857  6 Cd 3.12-3.25, 3 In 3.24-3.32, 2 Sn 3.25
4 Cd 0.6286 0.6286 0.1143  6 Cd 3.12-3.25, 3 In 3.24-3.32, 2 Sn 3.25
5 Cd 0.7453 0.7453 0.8376  6 Cd 3.08-3.25, 2 In 3.24, 2 Sn 3.42
6 In 0.1824 0.1824 0.4765  5 Cd 3.24-3.51, 6 In 3.25-3.36, 1 Sn 3.39
7 In 0.4592 0.4592 0.6351  5 In 3.25-3.36, 3 Cd 3.26-3.32, 4 Sn 3.37-3.43
8 In 0.5408 0.5408 0.3649  5 In 3.25-3.36, 3 Cd 3.26-3.32, 4 Sn 3.37-3.43
9 In 0.8176 0.8176 0.5235  5 Cd 3.24-3.51, 6 In 3.25-3.36, 1 Sn 3.39
10 Sn 0.1016 0.1016 0.7547  2 Sn 3.25, 5 Cd 3.25-3.54, 5 In 3.37-3.43
11 Sn 0.8984 0.8984 0.2453  2 Sn 3.25, 5 Cd 3.25-3.54, 5 In 3.37-3.43